(1)
Compound: Tb4SnSb
Source: Alexandria
Functional: PBE
Structure: relaxed

Unit cell a=6.091 b=7.698 c=8.921 alpha=76.15 beta=70.04 gamma=89.94
Space group P-1 (No. 2)
Unique sites:
Tb1 0.033 0.125 0.205
Tb2 0.262 0.625 0.205
Tb3 0.309 0.554 0.645
Tb4 0.454 0.945 0.355
Sn1 0.136 0.250 0.500
Sb1 0.000 0.500 0.000
Sb2 0.500 0.000 0.000

Properties
Theoretical density in kg/m3: 7653


(2)
Compound: CsKRb2Pb
Source: Alexandria
Functional: PBE
Structure: relaxed

Unit cell a=7.387 b=7.387 c=7.537 alpha=90.00 beta=90.00 gamma=90.00
Space group P4/mmm (No. 123)
Unique sites:
Cs1 0.000 0.000 0.000
K1 0.500 0.500 0.000
Rb1 0.000 0.500 0.500
Pb1 0.000 0.000 0.500

Properties
DFT formation energy in meV per atom: 76
Theoretical density in kg/m3: 2221


(3)
Compound: MgReRh
Source: Alexandria
Functional: PBE
Structure: relaxed

Unit cell a=5.994 b=5.994 c=5.994 alpha=90.00 beta=90.00 gamma=90.00
Space group F-43m (No. 216)
Unique sites:
Mg1 0.000 0.000 0.000
Re1 0.250 0.250 0.250
Rh1 0.250 0.250 0.750

Properties
DFT formation energy in meV per atom: 1256
Theoretical density in kg/m3: 9665


(4)
Compound: Ba4Sb2O9
Source: Alexandria
Functional: PBE
Structure: relaxed

Unit cell a=6.1050 b=6.1050 c=17.0530 alpha=90.00 beta=90.00 gamma=120.00
Space group P6_3/mmc (No. 194)
Unique sites:
Ba1 0.0000 0.0000 0.0000
Ba2 0.0000 0.0000 0.2500
Ba3 0.3333 0.6667 0.1296
Sb1 0.3333 0.6667 0.6631
O1 0.0398 0.5199 0.7500
O2 0.1710 0.3420 0.6102

Properties
Theoretical density in kg/m3: 5652


Result set for electronic total energy: -58.28, -7.21, -70.50, -188.01 eV per cell, one per record in the order listed.